Here is a geometry-optimized MgRe2H structure from Alexandria via LeMat-Bulk. Energies are from PBE-GGA.

extended XYZ file:
```
8
Lattice="5.309 0.000 0.000 0.000 5.309 0.000 2.654 2.654 4.161" Properties=species:S:1:pos:R:3 pbc="T T T"
Re 2.654 1.327 1.040
Re 6.636 5.308 3.120
Re 2.655 3.981 1.040
Re 3.981 5.309 3.120
H 2.654 2.654 0.000
H 2.654 5.309 2.080
Mg 5.309 2.654 2.080
Mg 0.000 0.000 0.000
```

## Properties
Total moment in μB/f.u.: 0.00
Space-group type: No. 141
Electronic total energy in eV for the cell shown: -54.38

Here is a geometry-optimized Mg2ReH6 structure from Alexandria via LeMat-Bulk. Energies are from PBE-GGA.

extended XYZ file:
```
18
Lattice="-1.895 -2.396 -3.094 3.301 -2.825 0.166 -4.197 -4.547 6.094" Properties=species:S:1:pos:R:3 pbc="T T T"
Mg 0.000 -3.372 -0.444
Mg -2.792 -6.396 3.609
Mg -2.801 -3.035 4.067
Mg -1.396 -1.512 2.027
H -0.490 -5.172 0.100
H 0.403 -1.497 -0.840
H -2.302 -4.596 3.065
H -2.886 -4.761 0.648
H -1.233 -6.596 4.714
H 1.002 -3.724 -2.088
H -4.473 -6.329 2.682
H -1.019 -3.206 1.203
H 1.681 -3.439 0.483
H -1.559 -3.172 -1.549
H -1.773 -6.562 1.963
H 0.094 -5.007 2.517
Re -1.396 -4.884 1.583
Re 0.000 0.000 0.000
```

## Properties
Total moment in μB/f.u.: 1.02
Space-group type: No. 136
Electronic total energy in eV for the cell shown: -71.55

Here is a geometry-optimized Mg3ReH8 structure from Alexandria via LeMat-Bulk. Energies are from PBE-GGA.

extended XYZ file:
```
12
Lattice="-1.199 -3.121 -3.087 4.262 -0.064 -1.592 1.048 -3.311 2.940" Properties=species:S:1:pos:R:3 pbc="T T T"
H 3.161 -4.994 -1.336
H 3.806 -3.316 0.324
H 0.950 -1.501 -0.402
H 0.869 -4.960 -0.481
H 3.242 -1.536 -1.258
H 2.597 -3.214 -2.917
H 1.514 -3.282 1.179
H 0.305 -3.179 -2.062
Mg 1.532 -1.592 -2.339
Mg -0.076 -3.216 -0.073
Mg 2.655 -1.687 0.674
Re 0.000 0.000 0.000
```

## Properties
Total moment in μB/f.u.: 0.05
Space-group type: No. 221
Electronic total energy in eV for the cell shown: -44.74

Here is a geometry-optimized MgReH2 structure from Alexandria via LeMat-Bulk. Energies are from PBE-GGA.

extended XYZ file:
```
4
Lattice="3.768 -0.023 0.135 1.875 3.161 0.842 1.769 0.316 3.315" Properties=species:S:1:pos:R:3 pbc="T T T"
Mg 0.000 0.000 0.000
Re 3.706 1.727 2.146
H 1.853 0.864 1.073
H 5.559 2.591 3.219
```

## Properties
Total moment in μB/f.u.: 0.00
Space-group type: No. 225
Electronic total energy in eV for the cell shown: -16.80